# 1
Nb6TcOs after structural relaxation, computed with PBE.

DOS(E_F): 5.4 states/eV per cell
Energy of formation: -0.232 eV per atom
ΔE to the lowest computed polymorph: 0.000 eV per atom
Raw total energy: -0.3853 Ha/atom

Lattice parameters (Å, degrees): 4.5910 5.6155 5.6155 109.45 90.00 90.00
Fractional positions:
Os1 0.5000 0.6250 0.3750
Nb1 0.0000 0.8763 0.6262
Nb2 0.5000 0.6250 0.8750
Nb3 0.0000 0.8743 0.1257
Nb4 0.0000 0.3738 0.1237
Nb5 0.0000 0.3757 0.6243
Nb6 0.5000 0.1250 0.3750
Tc1 0.5000 0.1250 0.8750

***

# 2
NbTc3Os after structural relaxation, computed with PBE.

DOS(E_F): 7.1 states/eV per cell
Energy of formation: 2.208 eV per atom
ΔE to the lowest computed polymorph: 0.578 eV per atom
Raw total energy: -0.3040 Ha/atom

Lattice parameters (Å, degrees): 4.6075 4.6075 4.6075 90.00 90.00 90.00
Last column: magnetic moment on the atom in μB.
Fractional positions:
Os1 0.5000 0.5000 0.5000  1.41
Nb1 0.0000 0.0000 0.0000  0.02
Tc1 0.0000 0.5000 0.0000  0.01
Tc2 0.5000 0.0000 0.0000  0.00
Tc3 0.0000 0.0000 0.5000  0.05